Record 1
Density functional theory data (PBE-GGA) for a relaxed La2TbDy3 crystal.

## Properties
Its space group is No. 12. The value obtained for the total moment is 0.00 μB/f.u. Its formation energy from the elements is 9.13 kJ per mole of atoms. The density of states at the Fermi level is 20.09 states/eV/cell. The electronic total energy is -4.62 eV per atom. The excess energy over the best structure of this formula in the dataset comes out at 0.0672 eV per atom.

abc: 9.0090 9.0090 10.2761
angles: 122.74 122.74 36.35
Last column: nearest neighbours and their distance in Å.
Sites, in units of the cell vectors:
La  0.0127  0.0127  0.3669  1 La 3.00, 1 Dy 3.16
La  0.2748  0.2748  0.6338  3 Dy 3.41-3.78, 3 La 3.68-3.69, 2 Tb 3.74
La  0.7252  0.7252  0.3662  3 Dy 3.41-3.78, 3 La 3.68-3.69, 2 Tb 3.74
La  0.9873  0.9873  0.6331  1 La 3.00, 1 Dy 3.16
Tb  0.3639  0.3639  0.3513  5 Dy 3.58-3.66, 7 La 3.71-3.97, 1 Tb 3.85
Tb  0.6361  0.6361  0.6487  5 Dy 3.58-3.66, 7 La 3.71-3.97, 1 Tb 3.85
Dy  0.1111  0.1111  0.1524  4 Dy 3.27-3.55, 3 La 3.41-3.45, 1 Tb 3.58
Dy  0.2037  0.2037  0.9213  1 La 3.16, 4 Dy 3.18-3.53
Dy  0.4479  0.4479  0.0990  8 Dy 3.38-3.78, 1 Tb 3.61, 2 La 3.64
Dy  0.5521  0.5521  0.9010  8 Dy 3.38-3.78, 1 Tb 3.61, 2 La 3.64
Dy  0.7963  0.7963  0.0787  1 La 3.16, 4 Dy 3.18-3.53
Dy  0.8889  0.8889  0.8476  4 Dy 3.27-3.55, 3 La 3.41-3.45, 1 Tb 3.58

=====

Record 2
Density functional theory data (PBE-GGA) for a relaxed La3Bi2 crystal.

## Properties
Its space group is No. 141. The value obtained for the total moment is 0.35 μB/f.u. Its formation energy from the elements is -72.38 kJ per mole of atoms. The density of states at the Fermi level is 11.18 states/eV/cell. The electronic total energy is -5.26 eV per atom. The excess energy over the best structure of this formula in the dataset comes out at 0.0000 eV per atom.

abc: 9.5054 9.5054 9.5054
angles: 140.31 140.31 57.39
Last column: nearest neighbours and their distance in Å.
Sites, in units of the cell vectors:
La  0.0000  0.0000  0.0000  2 La 3.23, 2 Bi 3.36
La  0.0000  0.0000  0.5000  2 La 3.23, 2 Bi 3.36
La  0.0000  0.5000  0.0000  2 La 3.23, 2 Bi 3.36
La  0.3750  0.6250  0.7500  6 Bi 3.30-3.34
La  0.5000  0.0000  0.5000  2 La 3.23, 2 Bi 3.36
La  0.6250  0.3750  0.2500  6 Bi 3.30-3.34
Bi  0.1770  0.4270  0.7500  5 La 3.30-3.36
Bi  0.4270  0.1770  0.2500  5 La 3.30-3.36
Bi  0.5730  0.8230  0.7500  5 La 3.30-3.36
Bi  0.8230  0.5730  0.2500  5 La 3.30-3.36

=====

Record 3
Density functional theory data (PBE-GGA) for a relaxed Gd2TlCd crystal.

## Properties
Its space group is No. 123. The value obtained for the total moment is 15.02 μB/f.u. Its formation energy from the elements is -37.17 kJ per mole of atoms. The density of states at the Fermi level is 3.06 states/eV/cell. The electronic total energy is -8.25 eV per atom. The excess energy over the best structure of this formula in the dataset comes out at 0.0038 eV per atom.

abc: 5.3753 5.3753 3.7887
angles: 90.00 90.00 90.00
Last column: nearest neighbours and their distance in Å.
Sites, in units of the cell vectors:
Gd  0.0000  0.5000  0.0000  4 Cd 3.29, 4 Tl 3.29
Gd  0.5000  0.0000  0.0000  4 Cd 3.29, 4 Tl 3.29
Tl  0.0000  0.0000  0.5000  8 Gd 3.29
Cd  0.5000  0.5000  0.5000  8 Gd 3.29

=====

Record 4
Density functional theory data (PBE-GGA) for a relaxed AsP2Os crystal.

## Properties
Its space group is No. 38. The value obtained for the total moment is 0.00 μB/f.u. Its formation energy from the elements is 11.20 kJ per mole of atoms. The density of states at the Fermi level is 2.11 states/eV/cell. The electronic total energy is -6.56 eV per atom.

abc: 4.2524 4.1389 4.1389
angles: 65.32 90.00 90.00
Last column: nearest neighbours and their distance in Å.
Sites, in units of the cell vectors:
As  0.0000  0.0000  0.0000  3 P 2.40-2.62, 2 Os 2.57
P  0.0000  0.3758  0.3758  3 As 2.40-2.62, 2 Os 2.43, 2 P 2.56
P  0.5000  0.5815  0.5815  3 Os 2.40-2.62, 2 P 2.56
Os  0.5000  0.2059  0.2059  5 P 2.40-2.62, 2 As 2.57

=====

Record 5
Density functional theory data (PBE-GGA) for a relaxed La2YOs crystal.

## Properties
Its space group is No. 62. The value obtained for the total moment is 0.00 μB/f.u. Its formation energy from the elements is -15.50 kJ per mole of atoms. The density of states at the Fermi level is 17.20 states/eV/cell. The electronic total energy is -7.05 eV per atom. The excess energy over the best structure of this formula in the dataset comes out at 0.0000 eV per atom.

abc: 7.4904 9.8014 6.4201
angles: 90.00 90.00 90.00
Last column: nearest neighbours and their distance in Å.
Sites, in units of the cell vectors:
La  0.1747  0.0665  0.1704  2 Os 2.92-2.98
La  0.1747  0.4335  0.1704  2 Os 2.92-2.98
La  0.3253  0.5665  0.6704  2 Os 2.92-2.98
La  0.3253  0.9335  0.6704  2 Os 2.92-2.98
La  0.6747  0.0665  0.3296  2 Os 2.92-2.98
La  0.6747  0.4335  0.3296  2 Os 2.92-2.98
La  0.8253  0.5665  0.8296  2 Os 2.92-2.98
La  0.8253  0.9335  0.8296  2 Os 2.92-2.98
Y  0.0434  0.2500  0.6461  2 Os 2.86-2.87
Y  0.4566  0.7500  0.1461  2 Os 2.86-2.87
Y  0.5434  0.2500  0.8539  2 Os 2.86-2.87
Y  0.9566  0.7500  0.3539  2 Os 2.86-2.87
Os  0.1153  0.7500  0.9471  2 Y 2.86-2.87, 4 La 2.92-2.98
Os  0.3847  0.2500  0.4471  2 Y 2.86-2.87, 4 La 2.92-2.98
Os  0.6153  0.7500  0.5529  2 Y 2.86-2.87, 4 La 2.92-2.98
Os  0.8847  0.2500  0.0529  2 Y 2.86-2.87, 4 La 2.92-2.98

=====

Record 6
Density functional theory data (PBE-GGA) for a relaxed NdGa4Fe crystal.

## Properties
Its space group is No. 123. The value obtained for the total moment is 0.00 μB/f.u. Its formation energy from the elements is -4.65 kJ per mole of atoms. The density of states at the Fermi level is 4.38 states/eV/cell. The electronic total energy is -4.27 eV per atom.

abc: 4.4923 4.4923 6.8537
angles: 90.00 90.00 90.00
Last column: nearest neighbours and their distance in Å.
Sites, in units of the cell vectors:
Nd  0.0000  0.0000  0.0000  8 Ga 3.38
Ga  0.0000  0.5000  0.5000  2 Fe 2.25
Ga  0.5000  0.0000  0.5000  2 Fe 2.25
Ga  0.5000  0.5000  0.1696  1 Fe 2.26, 1 Ga 2.32
Ga  0.5000  0.5000  0.8304  1 Fe 2.26, 1 Ga 2.32
Fe  0.5000  0.5000  0.5000  6 Ga 2.25-2.26

=====

Record 7
Density functional theory data (PBE-GGA) for a relaxed CsReOsO2 crystal.

## Properties
Its space group is No. 123. The value obtained for the total moment is 0.82 μB/f.u. For the uncorrected formation energy, the calculation gives 2.216 eV/atom. The density of states at the Fermi level is 5.46 states/eV/cell. The electronic total energy is -4.67 eV per atom.

abc: 3.9926 3.9926 7.1265
angles: 90.00 90.00 90.00
Last column: nearest neighbours and their distance in Å.
Sites, in units of the cell vectors:
Cs  0.0000  0.0000  0.0000  4 O 2.00
Re  0.5000  0.5000  0.5000  4 Os 2.82
Os  0.0000  0.0000  0.5000  4 Re 2.82
O  0.0000  0.5000  0.0000  2 Cs 2.00
O  0.5000  0.0000  0.0000  2 Cs 2.00

=====

Record 8
Density functional theory data (PBE-GGA) for a relaxed NaTl2Te2 crystal.

## Properties
Its space group is No. 139. The value obtained for the total moment is 0.00 μB/f.u. For the uncorrected formation energy, the calculation gives -0.309 eV/atom. The density of states at the Fermi level is 1.76 states/eV/cell. The electronic total energy is -2.78 eV per atom. The excess energy over the best structure of this formula in the dataset comes out at 0.0699 eV per atom.

abc: 8.6161 8.6161 8.6161
angles: 148.44 148.44 45.23
Last column: nearest neighbours and their distance in Å.
Sites, in units of the cell vectors:
Na  0.0000  0.0000  0.0000  8 Te 3.63
Tl  0.2500  0.7500  0.5000  4 Tl 3.31, 4 Te 3.42
Tl  0.7500  0.2500  0.5000  4 Tl 3.31, 4 Te 3.42
Te  0.4067  0.4067  0.0000  1 Te 2.97
Te  0.5933  0.5933  0.0000  1 Te 2.97

=====

Which formula does entry 3 have?
Gd2TlCd

=====

What is the density of states at the Fermi level in the eighth record?
1.76 states/eV/cell

=====

Look up the total moment of the fifth one.
0.00 μB/f.u.

=====

Among the records above, which one has the highest density of states at the Fermi level?
La2TbDy3